# Co2PdPt3 PBE-GGA relaxed
# - density (g/cm3) = 15.798
# - relative energy among the computed polymorphs (meV per atom) = 0.0
# - formation energy (eV per atom) = -0.111
# - calculated volume (Å³ per cell) = 85.1
data_Co2PdPt3
_chemical_formula_sum 'Co2 Pd1 Pt3'
_cell_length_a 2.721
_cell_length_b 2.721
_cell_length_c 11.495
_cell_angle_alpha 90.00
_cell_angle_beta 90.00
_cell_angle_gamma 90.00
_symmetry_space_group_name_H-M 'P 4/m m m'
_symmetry_Int_Tables_number 123
_symmetry_space_group_name_Hall '-P 4 2'
loop_
_atom_site_label
_atom_site_type_symbol
_atom_site_fract_x
_atom_site_fract_y
_atom_site_fract_z
_atom_site_occupancy
Co1 Co 0.000 0.000 0.162 1
Pd1 Pd 0.000 0.000 0.500 1
Pt1 Pt 0.500 0.500 0.000 1
Pt2 Pt 0.500 0.500 0.317 1

=====

# CoSb2PdPt PBE-GGA relaxed
# - density (g/cm3) = 9.455
# - calculated volume (Å³ per cell) = 106.1
# - formation energy (no corrections) (eV per atom) = 0.50
data_CoSb2PdPt
_chemical_formula_sum 'Co1 Sb2 Pd1 Pt1'
_cell_length_a 4.754
_cell_length_b 4.754
_cell_length_c 4.693
_cell_angle_alpha 90.00
_cell_angle_beta 90.00
_cell_angle_gamma 90.00
_symmetry_space_group_name_H-M 'P 4/m m m'
_symmetry_Int_Tables_number 123
_symmetry_space_group_name_Hall '-P 4 2'
loop_
_atom_site_label
_atom_site_type_symbol
_atom_site_fract_x
_atom_site_fract_y
_atom_site_fract_z
_atom_site_occupancy
Co1 Co 0.000 0.000 0.000 1
Sb1 Sb 0.000 0.500 0.000 1
Pd1 Pd 0.500 0.500 0.500 1
Pt1 Pt 0.000 0.000 0.500 1

=====

# TlCoPd2Pt PBE-GGA relaxed
# - density (g/cm3) = 9.684
# - formation energy (eV per atom) = 0.807
# - calculated volume (Å³ per cell) = 115.1
data_TlCoPd2Pt
_chemical_formula_sum 'Tl1 Co1 Pd2 Pt1'
_cell_length_a 5.025
_cell_length_b 5.025
_cell_length_c 4.559
_cell_angle_alpha 90.00
_cell_angle_beta 90.00
_cell_angle_gamma 90.00
_symmetry_space_group_name_H-M 'P 4/m m m'
_symmetry_Int_Tables_number 123
_symmetry_space_group_name_Hall '-P 4 2'
loop_
_atom_site_label
_atom_site_type_symbol
_atom_site_fract_x
_atom_site_fract_y
_atom_site_fract_z
_atom_site_occupancy
Tl1 Tl 0.000 0.000 0.000 1
Co1 Co 0.500 0.500 0.000 1
Pd1 Pd 0.000 0.500 0.500 1
Pt1 Pt 0.500 0.500 0.500 1